No. 1
Density functional theory data (PBE-GGA) for Cu3Ag after structural relaxation.

The energy relative to the elements is 0.0670 eV per atom.

The space group is P4/mmm (No. 123) and the conventional cell measures 2.726, 2.726 and 7.195 Å, with angles of 90.00, 90.00 and 90.00 degrees. The distinct sites, in fractional coordinates, are Cu at (0.000, 0.000, 0.000), Cu at (0.500, 0.500, 0.227) and Ag at (0.000, 0.000, 0.500).


No. 2
Density functional theory data (PBE-GGA) for Cu2BiAu after structural relaxation.

The polymorph energy (0 for the lowest one) is 0.0 meV per atom.

The space group is Fm-3m (No. 225) and the conventional cell measures 6.566, 6.566 and 6.566 Å, with angles of 90.00, 90.00 and 90.00 degrees. The distinct sites, in fractional coordinates, are Cu at (0.250, 0.250, 0.250), Bi at (0.000, 0.000, 0.000) and Au at (0.000, 0.000, 0.500).


No. 3
Density functional theory data (PBE-GGA) for KRe3N5 after structural relaxation.

Its total magnetization is 0.026 μB/f.u.

The space group is P6/mmm (No. 191) and the conventional cell measures 5.1816, 5.1816 and 5.9641 Å, with angles of 90.00, 90.00 and 120.00 degrees. The distinct sites, in fractional coordinates, are K at (0.0000, 0.0000, 0.0000), Re at (0.0000, 0.5000, 0.5000), N at (0.0000, 0.0000, 0.5000) and N at (0.3333, 0.6667, 0.2712).


No. 4
Density functional theory data (PBE-GGA) for ErScSn after structural relaxation.

Its total magnetization is 0.011 μB/f.u. The polymorph energy (0 for the lowest one) is 0.0 meV per atom.

The space group is F-43m (No. 216) and the conventional cell measures 7.027, 7.027 and 7.027 Å, with angles of 90.00, 90.00 and 90.00 degrees. The distinct sites, in fractional coordinates, are Er at (0.000, 0.000, 0.000), Sc at (0.000, 0.000, 0.500) and Sn at (0.250, 0.250, 0.250).


No. 5
Density functional theory data (PBE-GGA) for ZrRe2Te after structural relaxation.

Its total magnetization is 0.043 μB/f.u.

The space group is F-43m (No. 216) and the conventional cell measures 6.626, 6.626 and 6.626 Å, with angles of 90.00, 90.00 and 90.00 degrees. The distinct sites, in fractional coordinates, are Zr at (0.000, 0.000, 0.000), Re at (0.000, 0.000, 0.500), Re at (0.250, 0.250, 0.250) and Te at (0.250, 0.250, 0.750).


No. 6
Density functional theory data (PBE-GGA) for Cs2ErTlI6 after structural relaxation.

Its total magnetization is 0.002 μB/f.u.

The space group is Fm-3m (No. 225) and the conventional cell measures 12.696, 12.696 and 12.696 Å, with angles of 90.00, 90.00 and 90.00 degrees. The distinct sites, in fractional coordinates, are Cs at (0.250, 0.250, 0.250), Er at (0.000, 0.000, 0.000), Tl at (0.000, 0.000, 0.500) and I at (0.000, 0.000, 0.237).


No. 7
Density functional theory data (PBE-GGA) for Pa2Ag2O5 after structural relaxation.

Its total magnetization is 0.001 μB/f.u. The polymorph energy (0 for the lowest one) is 0.0 meV per atom.

The space group is P4/mmm (No. 123) and the conventional cell measures 4.265, 4.265 and 8.777 Å, with angles of 90.00, 90.00 and 90.00 degrees. The distinct sites, in fractional coordinates, are Pa at (0.000, 0.000, 0.245), Ag at (0.500, 0.500, 0.000), Ag at (0.500, 0.500, 0.500), O at (0.000, 0.000, 0.000) and O at (0.000, 0.500, 0.220).


No. 8
Density functional theory data (PBE-GGA) for Zn2Te after structural relaxation.

The polymorph energy (0 for the lowest one) is 162.8 meV per atom.

The space group is Cmcm (No. 63) and the conventional cell measures 8.716, 6.093 and 4.793 Å, with angles of 90.00, 90.00 and 90.00 degrees. The distinct sites, in fractional coordinates, are Zn at (0.177, 0.133, 0.250) and Te at (0.000, 0.278, 0.750).


No. 9
Density functional theory data (PBE-GGA) for CoCuAgB after structural relaxation.

Its total magnetization is 0.589 μB/f.u. The polymorph energy (0 for the lowest one) is 0.0 meV per atom.

The space group is F-43m (No. 216) and the conventional cell measures 5.715, 5.715 and 5.715 Å, with angles of 90.00, 90.00 and 90.00 degrees. The distinct sites, in fractional coordinates, are Co at (0.000, 0.000, 0.000), Cu at (0.000, 0.000, 0.500), Ag at (0.250, 0.250, 0.250) and B at (0.250, 0.250, 0.750).


No. 10
Density functional theory data (PBE-GGA) for CuH6C8N8 after structural relaxation.

The space group is C2/c (No. 15) and the conventional cell measures 12.639, 7.370 and 11.685 Å, with angles of 90.00, 93.92 and 90.00 degrees. The distinct sites, in fractional coordinates, are Cu at (0.000, 0.000, 0.000), H at (0.003, 0.316, 0.405), H at (0.102, 0.195, 0.152), H at (0.106, 0.299, 0.024), C at (0.135, 0.267, 0.650), C at (0.154, 0.465, 0.813), C at (0.191, 0.402, 0.710), C at (0.216, 0.034, 0.334), N at (0.059, 0.230, 0.078), N at (0.092, 0.146, 0.602), N at (0.121, 0.485, 0.399) and N at (0.137, 0.017, 0.870).


No. 11
Density functional theory data (PBE-GGA) for Rb2Pr2Hf after structural relaxation.

Its total magnetization is 0.155 μB/f.u.

The space group is P6_3/mmc (No. 194) and the conventional cell measures 6.3147, 6.3147 and 12.0133 Å, with angles of 90.00, 90.00 and 120.00 degrees. The distinct sites, in fractional coordinates, are Rb at (0.3333, 0.6667, 0.0954), Pr at (0.0000, 0.0000, 0.0000), Pr at (0.3333, 0.6667, 0.7500) and Hf at (0.0000, 0.0000, 0.2500).


No. 12
Density functional theory data (PBE-GGA) for GdZnPd after structural relaxation.

The energy relative to the elements is -0.7434 eV per atom. Its total magnetization is 0.000 μB/f.u. The polymorph energy (0 for the lowest one) is 2.3 meV per atom.

The space group is Pnma (No. 62) and the conventional cell measures 6.910, 4.381 and 7.924 Å, with angles of 90.00, 90.00 and 90.00 degrees. The distinct sites, in fractional coordinates, are Gd at (0.023, 0.250, 0.196), Zn at (0.165, 0.250, 0.573) and Pd at (0.229, 0.750, 0.397).


No. 13
Density functional theory data (PBE-GGA) for TmIrNO after structural relaxation.

Its total magnetization is 0.001 μB/f.u. The polymorph energy (0 for the lowest one) is 393.7 meV per atom.

The space group is Pmc2_1 (No. 26) and the conventional cell measures 3.833, 5.790 and 4.735 Å, with angles of 90.00, 90.00 and 90.00 degrees. The distinct sites, in fractional coordinates, are Tm at (0.000, 0.240, 0.000), Ir at (0.500, 0.355, 0.513), N at (0.000, 0.333, 0.492) and O at (0.500, 0.107, 0.826).


No. 14
Density functional theory data (PBE-GGA) for SrOs2O6 after structural relaxation.

Its total magnetization is 0.003 μB/f.u.

The space group is P-31m (No. 162) and the conventional cell measures 5.3351, 5.3351 and 5.0578 Å, with angles of 90.00, 90.00 and 120.00 degrees. The distinct sites, in fractional coordinates, are Sr at (0.0000, 0.0000, 0.0000), Os at (0.3333, 0.6667, 0.5000) and O at (0.0000, 0.3795, 0.7037).


No. 15
Density functional theory data (PBE-GGA) for Ho3FeNi8 after structural relaxation.

The energy relative to the elements is -0.3635 eV per atom. Its total magnetization is 3.316 μB/f.u.

The space group is R-3m (No. 166, hexagonal axes) and the conventional cell measures 4.9584, 4.9584 and 24.1028 Å, with angles of 90.00, 90.00 and 120.00 degrees. The distinct sites, in fractional coordinates, are Ho at (0.0000, 0.0000, 0.0000), Ho at (0.0000, 0.0000, 0.1387), Fe at (0.0000, 0.0000, 0.5000), Ni at (0.0000, 0.0000, 0.3335) and Ni at (0.0020, 0.5010, 0.9167).


No. 16
Density functional theory data (PBE-GGA) for Zr2AgC after structural relaxation.

Its total magnetization is 0.010 μB/f.u.

The space group is Cmcm (No. 63) and the conventional cell measures 3.290, 17.659 and 4.705 Å, with angles of 90.00, 90.00 and 90.00 degrees. The distinct sites, in fractional coordinates, are Zr at (0.000, 0.108, 0.250), Zr at (0.000, 0.289, 0.250), Ag at (0.000, 0.457, 0.250) and C at (0.000, 0.303, 0.750).


No. 17
Density functional theory data (PBE-GGA) for HfGeNO after structural relaxation.

Its total magnetization is 0.001 μB/f.u. The polymorph energy (0 for the lowest one) is 517.9 meV per atom.

The space group is P4/nmm (No. 129, origin choice 2) and the conventional cell measures 4.091, 4.091 and 7.017 Å, with angles of 90.00, 90.00 and 90.00 degrees. The distinct sites, in fractional coordinates, are Hf at (0.250, 0.750, 0.000), Ge at (0.250, 0.250, 0.394), N at (0.250, 0.250, 0.913) and O at (0.250, 0.750, 0.500).


No. 18
Density functional theory data (PBE-GGA) for GdSbPb after structural relaxation.

Its total magnetization is 0.002 μB/f.u.

The space group is F-43m (No. 216) and the conventional cell measures 7.360, 7.360 and 7.360 Å, with angles of 90.00, 90.00 and 90.00 degrees. The distinct sites, in fractional coordinates, are Gd at (0.000, 0.000, 0.000), Sb at (0.250, 0.250, 0.250) and Pb at (0.250, 0.250, 0.750).


No. 19
Density functional theory data (PBE-GGA) for ErAgSnO3 after structural relaxation.

Its total magnetization is 0.001 μB/f.u.

The space group is Cmcm (No. 63) and the conventional cell measures 3.461, 13.341 and 8.322 Å, with angles of 90.00, 90.00 and 90.00 degrees. The distinct sites, in fractional coordinates, are Er at (0.000, 0.000, 0.000), Ag at (0.000, 0.327, 0.250), Sn at (0.000, 0.338, 0.750), O at (0.000, 0.061, 0.250) and O at (0.000, 0.393, 0.002).


No. 20
Density functional theory data (PBE-GGA) for ErPaGa after structural relaxation.

Its total magnetization is 0.066 μB/f.u. The polymorph energy (0 for the lowest one) is 0.0 meV per atom.

The space group is F-43m (No. 216) and the conventional cell measures 6.833, 6.833 and 6.833 Å, with angles of 90.00, 90.00 and 90.00 degrees. The distinct sites, in fractional coordinates, are Er at (0.000, 0.000, 0.000), Pa at (0.000, 0.000, 0.500) and Ga at (0.250, 0.250, 0.250).


| no. | electronic total energy (eV per atom) |
| --- | --- |
| 1 | -3.43 |
| 2 | -3.52 |
| 3 | -8.06 |
| 4 | -5.31 |
| 5 | -8.57 |
| 6 | -3.10 |
| 7 | -7.22 |
| 8 | -1.76 |
| 9 | -4.33 |
| 10 | -6.94 |
| 11 | -3.41 |
| 12 | -4.44 |
| 13 | -7.84 |
| 14 | -7.44 |
| 15 | -5.91 |
| 16 | -7.79 |
| 17 | -7.85 |
| 18 | -4.38 |
| 19 | -6.31 |
| 20 | -5.55 |